Entry 1:
Material: CoAgCl2
Method: DFT, PBE-GGA
State: optimized geometry

The structure in POSCAR format:
```
CoAgCl2
1.0
-2.948 2.948 5.261
2.948 -2.948 5.261
2.948 2.948 -5.261
Co Ag Cl
2 2 4
direct
0.000 0.000 0.000
0.750 0.250 0.500
0.250 0.750 0.500
0.500 0.500 0.000
0.073 0.625 0.948
0.375 0.323 0.448
0.677 0.125 0.052
0.875 0.927 0.552
```

Values from the calculation:
Energy above the lowest structure with this stoichiometry, meV per atom: 59
Energy relative to the elements, uncorrected, kJ/mol of atoms: -10.6
Volume, Å³/cell: 182.88

***

Entry 2:
Material: PmP2Pd7Pb2
Method: DFT, PBE-GGA
State: optimized geometry

The structure in POSCAR format:
```
PmP2Pd7Pb2
1.0
2.992 -3.471 0.000
2.992 3.471 0.000
-1.090 0.000 11.401
Pm P Pd Pb
1 2 7 2
direct
0.000 0.000 0.000
0.321 0.321 0.806
0.679 0.679 0.194
0.152 0.560 0.198
0.371 0.371 0.605
0.440 0.848 0.802
0.500 0.500 0.000
0.560 0.152 0.198
0.629 0.629 0.395
0.848 0.440 0.802
0.131 0.131 0.379
0.869 0.869 0.621
```

Values from the calculation:
Formation energy from the elements, eV per atom: -0.50
Volume, Å³/cell: 236.78